A plane-wave DFT calculation with GGA-PBE was carried out for an optimized crystal structure of Ca2CuRh.

## Properties
The calculated total energy comes out at -4.03 eV per atom. The space-group type is Cm (8).

abc: 5.853 5.853 4.815
angles: 108.42 108.42 33.86
Sites, in units of the cell vectors:
Ca 0.000 0.000 0.000
Ca 0.208 0.208 0.668
Cu 0.435 0.435 0.438
Rh 0.758 0.758 0.206

=====

A plane-wave DFT calculation with GGA-PBE was carried out for an optimized crystal structure of YReAg2.

## Properties
The space-group type is F-43m (216). Its distance to the lowest polymorph of the same formula is 0.75 eV/f.u.

abc: 4.819 4.819 4.819
angles: 60.00 60.00 60.00
Sites, in units of the cell vectors:
Y 0.000 0.000 0.000
Re 0.750 0.750 0.750
Ag 0.250 0.250 0.250
Ag 0.500 0.500 0.500

=====

A plane-wave DFT calculation with GGA-PBE was carried out for an optimized crystal structure of BaNa2OsCl8.

## Properties
The space-group type is P-1 (2). The calculation puts the raw formation energy at -129.2 kJ per mole of atoms.

abc: 6.270 6.606 8.722
angles: 83.51 86.17 85.45
Sites, in units of the cell vectors:
Ba 0.000 0.000 0.000
Na 0.448 0.439 0.236
Na 0.552 0.561 0.764
Os 0.000 0.000 0.500
Cl 0.141 0.767 0.703
Cl 0.200 0.814 0.314
Cl 0.280 0.205 0.508
Cl 0.355 0.286 0.976
Cl 0.645 0.714 0.024
Cl 0.720 0.795 0.492
Cl 0.800 0.186 0.686
Cl 0.859 0.233 0.297

=====

Copy entry 1 word for word.
A plane-wave DFT calculation with GGA-PBE was carried out for an optimized crystal structure of Ca2CuRh.

## Properties
The calculated total energy comes out at -4.03 eV per atom. The space-group type is Cm (8).

abc: 5.853 5.853 4.815
angles: 108.42 108.42 33.86
Sites, in units of the cell vectors:
Ca 0.000 0.000 0.000
Ca 0.208 0.208 0.668
Cu 0.435 0.435 0.438
Rh 0.758 0.758 0.206